# GGA-PBE Pm4Cd2Ga, relaxed
# SG: R-3m
# Calculated total energy in eV per formula unit: -25.4
data_Pm4Cd2Ga
_chemical_formula_sum 'Pm4 Cd2 Ga1'
_symmetry_space_group_name_H-M 'P 1'
_symmetry_Int_Tables_number 1
_symmetry_space_group_name_Hall 'P 1'
_cell_length_a 5.296
_cell_length_b 5.296
_cell_length_c 9.074
_cell_angle_alpha 73.03
_cell_angle_beta 73.03
_cell_angle_gamma 60.00
loop_
_atom_site_label
_atom_site_type_symbol
_atom_site_fract_x
_atom_site_fract_y
_atom_site_fract_z
Cd1 Cd 0.748 0.748 0.755
Cd2 Cd 0.252 0.252 0.245
Ga1 Ga 0.000 0.000 0.000
Pm1 Pm 0.874 0.874 0.377
Pm2 Pm 0.126 0.126 0.623
Pm3 Pm 0.622 0.622 0.133
Pm4 Pm 0.378 0.378 0.867

***

# GGA-PBE Mg2TlCd4Hg2, relaxed
# SG: P3m1
# Calculated total energy in eV per formula unit: -9.5
data_Mg2TlCd4Hg2
_chemical_formula_sum 'Mg2 Tl1 Cd4 Hg2'
_symmetry_space_group_name_H-M 'P 1'
_symmetry_Int_Tables_number 1
_symmetry_space_group_name_Hall 'P 1'
_cell_length_a 3.394
_cell_length_b 3.394
_cell_length_c 22.064
_cell_angle_alpha 90.00
_cell_angle_beta 90.00
_cell_angle_gamma 120.00
loop_
_atom_site_label
_atom_site_type_symbol
_atom_site_fract_x
_atom_site_fract_y
_atom_site_fract_z
Mg1 Mg 0.667 0.333 0.440
Mg2 Mg 0.667 0.333 0.215
Tl1 Tl 0.000 0.000 0.327
Cd1 Cd 0.000 0.000 0.547
Cd2 Cd 0.667 0.333 0.086
Cd3 Cd 0.667 0.333 0.869
Cd4 Cd 0.000 0.000 0.761
Hg1 Hg 0.000 0.000 0.977
Hg2 Hg 0.667 0.333 0.654

***

# GGA-PBE Cs2CdP2S6, relaxed
# SG: C2/m
# Formation energy from raw total energies in eV/atom: -0.6469
data_Cs2CdP2S6
_chemical_formula_sum 'Cs2 Cd1 P2 S6'
_symmetry_space_group_name_H-M 'P 1'
_symmetry_Int_Tables_number 1
_symmetry_space_group_name_Hall 'P 1'
_cell_length_a 6.786
_cell_length_b 7.784
_cell_length_c 7.159
_cell_angle_alpha 102.93
_cell_angle_beta 90.00
_cell_angle_gamma 115.84
loop_
_atom_site_label
_atom_site_type_symbol
_atom_site_fract_x
_atom_site_fract_y
_atom_site_fract_z
Cs1 Cs 0.712 0.424 0.197
Cs2 Cs 0.288 0.576 0.803
Cd1 Cd 0.500 0.000 0.500
P1 P 0.985 0.971 0.831
P2 P 0.015 0.029 0.169
S1 S 0.840 0.681 0.714
S2 S 0.192 0.880 0.210
S3 S 0.312 0.120 0.790
S4 S 0.808 0.120 0.790
S5 S 0.688 0.880 0.210
S6 S 0.160 0.319 0.286

***

# GGA-PBE FeSb2Pb, relaxed
# SG: F-43m
# Formation energy from raw total energies in eV/atom: 0.5969
data_FeSb2Pb
_chemical_formula_sum 'Fe1 Sb2 Pb1'
_symmetry_space_group_name_H-M 'P 1'
_symmetry_Int_Tables_number 1
_symmetry_space_group_name_Hall 'P 1'
_cell_length_a 5.199
_cell_length_b 5.199
_cell_length_c 5.199
_cell_angle_alpha 60.00
_cell_angle_beta 60.00
_cell_angle_gamma 60.00
loop_
_atom_site_label
_atom_site_type_symbol
_atom_site_fract_x
_atom_site_fract_y
_atom_site_fract_z
Fe1 Fe 0.500 0.500 0.500
Pb1 Pb 0.250 0.250 0.250
Sb1 Sb 0.000 0.000 0.000
Sb2 Sb 0.750 0.750 0.750

***

# GGA-PBE Ba5Sr3Ca, relaxed
# SG: P6_3/mcm
# Calculated total energy in eV per formula unit: -16.1
data_Ba5Sr3Ca
_chemical_formula_sum 'Ba10 Sr6 Ca2'
_symmetry_space_group_name_H-M 'P 1'
_symmetry_Int_Tables_number 1
_symmetry_space_group_name_Hall 'P 1'
_cell_length_a 8.268
_cell_length_b 12.064
_cell_length_c 12.064
_cell_angle_alpha 120.00
_cell_angle_beta 90.00
_cell_angle_gamma 90.00
loop_
_atom_site_label
_atom_site_type_symbol
_atom_site_fract_x
_atom_site_fract_y
_atom_site_fract_z
Ba1 Ba 0.000 0.333 0.667
Ba2 Ba 0.500 0.667 0.333
Ba3 Ba 0.000 0.667 0.333
Ba4 Ba 0.500 0.333 0.667
Ba5 Ba 0.750 0.659 0.000
Ba6 Ba 0.750 0.341 0.341
Ba7 Ba 0.750 0.000 0.659
Ba8 Ba 0.250 0.341 0.000
Ba9 Ba 0.250 0.659 0.659
Ba10 Ba 0.250 0.000 0.341
Sr1 Sr 0.750 0.316 0.000
Sr2 Sr 0.750 0.684 0.684
Sr3 Sr 0.750 0.000 0.316
Sr4 Sr 0.250 0.684 0.000
Sr5 Sr 0.250 0.316 0.316
Sr6 Sr 0.250 0.000 0.684
Ca1 Ca 0.000 0.000 0.000
Ca2 Ca 0.500 0.000 0.000

***

# GGA-PBE Li2YAl2Ag2, relaxed
# SG: C2/m
# Calculated total energy in eV per formula unit: -25.5
data_Li2YAl2Ag2
_chemical_formula_sum 'Li2 Y1 Al2 Ag2'
_symmetry_space_group_name_H-M 'P 1'
_symmetry_Int_Tables_number 1
_symmetry_space_group_name_Hall 'P 1'
_cell_length_a 4.585
_cell_length_b 4.612
_cell_length_c 7.534
_cell_angle_alpha 107.15
_cell_angle_beta 90.04
_cell_angle_gamma 119.79
loop_
_atom_site_label
_atom_site_type_symbol
_atom_site_fract_x
_atom_site_fract_y
_atom_site_fract_z
Li1 Li 0.143 0.286 0.434
Li2 Li 0.857 0.714 0.566
Y1 Y 0.000 0.000 0.000
Al1 Al 0.573 0.145 0.715
Al2 Al 0.427 0.855 0.285
Ag1 Ag 0.736 0.472 0.211
Ag2 Ag 0.264 0.528 0.789